Entry 1:
Computed, not measured: crystalline Ac6SnOs2 at its relaxed geometry at the PBE level of DFT.

a b c (Å): 10.3355 10.6098 11.1950
angles (deg): 90.00 90.00 90.00
Space group Immm (No. 71)
Symmetry-distinct sites (fractional):
Ac: 0.0000 0.2030 0.2377 x8
Ac: 0.1811 0.5000 0.1689 x8
Ac: 0.2172 0.3183 0.5000 x8
Sn: 0.0000 0.0000 0.0000 x2
Sn: 0.0000 0.0000 0.5000 x2
Os: 0.0000 0.3258 0.0000 x4
Os: 0.0000 0.5000 0.3865 x4

## Properties
- DFT formation energy (eV/f.u.) = -1.66
- M_tot (μB/cell) = 0.00
- volume (Å³/atom) = 34.1


Entry 2:
Computed, not measured: crystalline K2Te2S5 at its relaxed geometry at the PBE level of DFT.

a b c (Å): 16.0952 5.2024 7.9028
angles (deg): 90.00 108.49 90.00
Space group C2/m (No. 12)
Symmetry-distinct sites (fractional):
K: 0.0443 0.0000 0.2888 x4
Te: 0.1539 0.5000 0.9415 x4
S: 0.0000 0.5000 0.0000 x2
S: 0.0953 0.5000 0.6336 x4
S: 0.1718 0.0000 0.0268 x4

## Properties
- M_tot (μB/cell) = 0.00
- formation energy from raw total energies (meV/atom) = -386.0
- volume (Å³/atom) = 34.9


Entry 3:
Computed, not measured: crystalline Pr2GePPd6 at its relaxed geometry at the PBE level of DFT.

a b c (Å): 5.5911 8.7678 8.1013
angles (deg): 90.00 90.00 90.00
Space group Pmmn (No. 59, origin choice 2)
Symmetry-distinct sites (fractional):
Pr: 0.2500 0.0072 0.2329 x4
Ge: 0.2500 0.7500 0.7727 x2
P: 0.2500 0.2500 0.7416 x2
Pd: 0.9997 0.2500 0.4950 x4
Pd: 0.0038 0.2500 0.9785 x4
Pd: 0.2500 0.0022 0.6193 x4

## Properties
- DFT formation energy (eV/f.u.) = -7.66
- M_tot (μB/cell) = 0.00
- volume (Å³/atom) = 19.9


Entry 4:
Computed, not measured: crystalline LiAl5 at its relaxed geometry at the PBE level of DFT.

a b c (Å): 10.5410 2.8407 6.9365
angles (deg): 90.00 107.06 90.00
Space group Cm (No. 8)
Symmetry-distinct sites (fractional):
Li: 0.0000 0.0000 0.0000 x2
Al: 0.0509 0.0000 0.6148 x2
Al: 0.1665 0.5000 0.3320 x2
Al: 0.2251 0.5000 0.9470 x2
Al: 0.3263 0.0000 0.6608 x2
Al: 0.3895 0.0000 0.2794 x2

## Properties
- DFT formation energy (eV/f.u.) = -0.17
- M_tot (μB/cell) = 0.00
- volume (Å³/atom) = 16.5


Entry 5:
Computed, not measured: crystalline KCa2PmBr8 at its relaxed geometry at the PBE level of DFT.

a b c (Å): 6.7537 9.0771 7.1190
angles (deg): 90.00 90.36 90.00
Space group P2/m (No. 10)
Symmetry-distinct sites (fractional):
K: 0.0000 0.0000 0.0000 x1
Ca: 0.5000 0.2468 0.5000 x2
Pm: 0.0000 0.5000 0.0000 x1
Br: 0.2446 0.2770 0.1674 x4
Br: 0.2630 0.5000 0.6675 x2
Br: 0.2703 0.0000 0.6327 x2

## Properties
- M_tot (μB/cell) = 0.00
- formation energy from raw total energies (meV/atom) = -1908.6
- volume (Å³/atom) = 36.4


Entry 6:
Computed, not measured: crystalline Ca2In8Ag at its relaxed geometry at the PBE level of DFT.

a b c (Å): 4.8724 4.8724 12.0707
angles (deg): 90.00 90.00 90.00
Space group P4/mmm (No. 123)
Symmetry-distinct sites (fractional):
Ca: 0.0000 0.0000 0.1867 x2
In: 0.0000 0.5000 0.0000 x2
In: 0.0000 0.5000 0.3685 x4
In: 0.5000 0.5000 0.1946 x2
Ag: 0.0000 0.0000 0.5000 x1

## Properties
- DFT formation energy (eV/f.u.) = -2.63
- M_tot (μB/cell) = 0.00
- volume (Å³/atom) = 26.1


Entry 7:
Computed, not measured: crystalline BaTiI2 at its relaxed geometry at the PBE level of DFT.

a b c (Å): 6.3033 6.3033 17.5014
angles (deg): 90.00 90.00 90.00
Space group I-42d (No. 122)
Symmetry-distinct sites (fractional):
Ba: 0.0000 0.0000 0.0000 x4
Ti: 0.0000 0.0000 0.5000 x4
I: 0.1736 0.2500 0.6250 x8

## Properties
- M_tot (μB/cell) = 15.63
- formation energy from raw total energies (meV/atom) = -360.1
- volume (Å³/atom) = 43.5


Entry 8:
Computed, not measured: crystalline Ni2Pt at its relaxed geometry at the PBE level of DFT.

a b c (Å): 9.6004 2.6737 6.1876
angles (deg): 90.00 104.88 90.00
Space group Cm (No. 8)
Symmetry-distinct sites (fractional):
Ni: 0.0000 0.0000 0.0000 x2
Ni: 0.0567 0.0000 0.6116 x2
Ni: 0.1703 0.5000 0.3470 x2
Ni: 0.3395 0.0000 0.6715 x2
Pt: 0.2164 0.5000 0.9335 x2
Pt: 0.3948 0.0000 0.2890 x2

## Properties
- DFT formation energy (eV/f.u.) = -0.06
- M_tot (μB/cell) = 6.96
- volume (Å³/atom) = 12.8